No. 1
# Y3Sb5O12, optimized geometry, DFT PBEsol
data_Y3Sb5O12
_chemical_formula_sum 'Y6 Sb10 O24'
_cell_length_a 9.268
_cell_length_b 9.268
_cell_length_c 9.268
_cell_angle_alpha 109.47
_cell_angle_beta 109.47
_cell_angle_gamma 109.47
_symmetry_space_group_name_H-M 'P 1'
_symmetry_Int_Tables_number 1
_symmetry_space_group_name_Hall 'P 1'
loop_
_atom_site_label
_atom_site_type_symbol
_atom_site_fract_x
_atom_site_fract_y
_atom_site_fract_z
_atom_site_occupancy
Y1 Y 0.750 0.250 0.500 1
Y2 Y 0.250 0.750 0.500 1
Y3 Y 0.250 0.500 0.750 1
Y4 Y 0.750 0.500 0.250 1
Y5 Y 0.500 0.250 0.750 1
Y6 Y 0.500 0.750 0.250 1
Sb1 Sb 0.481 0.000 0.000 1
Sb2 Sb 0.519 0.519 0.519 1
Sb3 Sb 0.000 0.000 0.481 1
Sb4 Sb 0.000 0.481 0.000 1
Sb5 Sb 0.279 0.279 0.000 1
Sb6 Sb 0.721 0.721 0.000 1
Sb7 Sb 0.279 0.000 0.279 1
Sb8 Sb 0.721 0.000 0.721 1
Sb9 Sb 0.000 0.721 0.721 1
Sb10 Sb 0.000 0.279 0.279 1
O1 O 0.204 0.708 0.708 1
O2 O 0.796 0.503 0.503 1
O3 O 0.000 0.292 0.497 1
O4 O 0.497 0.292 0.000 1
O5 O 0.000 0.497 0.292 1
O6 O 0.292 0.497 0.000 1
O7 O 0.503 0.503 0.796 1
O8 O 0.708 0.708 0.204 1
O9 O 0.497 0.000 0.292 1
O10 O 0.708 0.204 0.708 1
O11 O 0.503 0.796 0.503 1
O12 O 0.292 0.000 0.497 1
O13 O 0.723 0.202 0.202 1
O14 O 0.277 0.479 0.479 1
O15 O 0.000 0.798 0.521 1
O16 O 0.521 0.798 0.000 1
O17 O 0.000 0.521 0.798 1
O18 O 0.798 0.521 0.000 1
O19 O 0.479 0.479 0.277 1
O20 O 0.202 0.202 0.723 1
O21 O 0.521 0.000 0.798 1
O22 O 0.202 0.723 0.202 1
O23 O 0.479 0.277 0.479 1
O24 O 0.798 0.000 0.521 1
# E_form (uncorrected): -2273 meV/atom

=====

No. 2
# Y2SbO2, optimized geometry, DFT PBEsol
data_Y2SbO2
_chemical_formula_sum 'Y2 Sb1 O2'
_cell_length_a 3.807
_cell_length_b 3.807
_cell_length_c 7.101
_cell_angle_alpha 105.55
_cell_angle_beta 105.55
_cell_angle_gamma 90.00
_symmetry_space_group_name_H-M 'P 1'
_symmetry_Int_Tables_number 1
_symmetry_space_group_name_Hall 'P 1'
loop_
_atom_site_label
_atom_site_type_symbol
_atom_site_fract_x
_atom_site_fract_y
_atom_site_fract_z
_atom_site_occupancy
Y1 Y 0.334 0.334 0.669 1
Y2 Y 0.666 0.666 0.331 1
Sb1 Sb 0.000 0.000 0.000 1
O1 O 0.250 0.750 0.500 1
O2 O 0.750 0.250 0.500 1
# E_form (uncorrected): -2778 meV/atom

=====

No. 3
# Zn7Sb2O12, optimized geometry, DFT PBEsol
data_Zn7Sb2O12
_chemical_formula_sum 'Zn14 Sb4 O24'
_cell_length_a 6.171
_cell_length_b 8.592
_cell_length_c 10.389
_cell_angle_alpha 113.39
_cell_angle_beta 106.01
_cell_angle_gamma 92.31
_symmetry_space_group_name_H-M 'P 1'
_symmetry_Int_Tables_number 1
_symmetry_space_group_name_Hall 'P 1'
loop_
_atom_site_label
_atom_site_type_symbol
_atom_site_fract_x
_atom_site_fract_y
_atom_site_fract_z
_atom_site_occupancy
Zn1 Zn 0.878 0.800 0.821 1
Zn2 Zn 0.554 0.459 0.164 1
Zn3 Zn 0.219 0.140 0.495 1
Zn4 Zn 0.446 0.541 0.836 1
Zn5 Zn 0.122 0.200 0.179 1
Zn6 Zn 0.781 0.860 0.505 1
Zn7 Zn 0.669 0.174 0.329 1
Zn8 Zn 0.331 0.826 0.671 1
Zn9 Zn 0.820 0.319 0.650 1
Zn10 Zn 0.500 0.000 0.000 1
Zn11 Zn 0.180 0.681 0.350 1
Zn12 Zn 0.652 0.151 0.819 1
Zn13 Zn 0.348 0.849 0.181 1
Zn14 Zn 0.000 0.500 0.500 1
Sb1 Sb 0.000 0.500 0.000 1
Sb2 Sb 0.166 0.160 0.829 1
Sb3 Sb 0.834 0.840 0.171 1
Sb4 Sb 0.500 0.500 0.500 1
O1 O 0.473 0.244 0.982 1
O2 O 0.146 0.905 0.319 1
O3 O 0.809 0.570 0.655 1
O4 O 0.321 0.097 0.677 1
O5 O 0.989 0.739 0.007 1
O6 O 0.658 0.426 0.345 1
O7 O 0.630 0.929 0.834 1
O8 O 0.296 0.595 0.161 1
O9 O 0.966 0.263 0.493 1
O10 O 0.161 0.935 0.838 1
O11 O 0.841 0.589 0.157 1
O12 O 0.499 0.265 0.497 1
O13 O 0.854 0.095 0.681 1
O14 O 0.527 0.756 0.018 1
O15 O 0.191 0.430 0.345 1
O16 O 0.011 0.261 0.993 1
O17 O 0.679 0.903 0.323 1
O18 O 0.342 0.574 0.655 1
O19 O 0.704 0.405 0.839 1
O20 O 0.370 0.071 0.166 1
O21 O 0.034 0.737 0.507 1
O22 O 0.159 0.411 0.843 1
O23 O 0.839 0.065 0.162 1
O24 O 0.501 0.735 0.503 1
# offset from the most stable computed form: 0.106 kcal/mol of atoms
# E_form (uncorrected): -1438 meV/atom

=====

No. 4
# ZnSb2O4, optimized geometry, DFT PBEsol
data_ZnSb2O4
_chemical_formula_sum 'Zn4 Sb8 O16'
_cell_length_a 6.000
_cell_length_b 8.425
_cell_length_c 8.425
_cell_angle_alpha 90.00
_cell_angle_beta 90.00
_cell_angle_gamma 90.00
_symmetry_space_group_name_H-M 'P 1'
_symmetry_Int_Tables_number 1
_symmetry_space_group_name_Hall 'P 1'
loop_
_atom_site_label
_atom_site_type_symbol
_atom_site_fract_x
_atom_site_fract_y
_atom_site_fract_z
_atom_site_occupancy
Zn1 Zn 0.250 0.500 0.000 1
Zn2 Zn 0.750 0.000 0.500 1
Zn3 Zn 0.750 0.500 0.000 1
Zn4 Zn 0.250 0.000 0.500 1
Sb1 Sb 0.000 0.837 0.825 1
Sb2 Sb 0.500 0.825 0.163 1
Sb3 Sb 0.500 0.175 0.837 1
Sb4 Sb 0.000 0.163 0.175 1
Sb5 Sb 0.000 0.337 0.675 1
Sb6 Sb 0.000 0.663 0.325 1
Sb7 Sb 0.500 0.675 0.663 1
Sb8 Sb 0.500 0.325 0.337 1
O1 O 0.500 0.408 0.854 1
O2 O 0.500 0.592 0.146 1
O3 O 0.000 0.146 0.408 1
O4 O 0.000 0.854 0.592 1
O5 O 0.000 0.354 0.908 1
O6 O 0.500 0.908 0.646 1
O7 O 0.500 0.092 0.354 1
O8 O 0.000 0.646 0.092 1
O9 O 0.750 0.178 0.678 1
O10 O 0.250 0.678 0.822 1
O11 O 0.250 0.322 0.178 1
O12 O 0.750 0.822 0.322 1
O13 O 0.250 0.178 0.678 1
O14 O 0.750 0.678 0.822 1
O15 O 0.750 0.322 0.178 1
O16 O 0.250 0.822 0.322 1
# E_form (uncorrected): -1348 meV/atom

=====

No. 5
# Zn7Sb2O12, optimized geometry, DFT PBEsol
data_Zn7Sb2O12
_chemical_formula_sum 'Zn14 Sb4 O24'
_cell_length_a 6.104
_cell_length_b 6.104
_cell_length_c 13.407
_cell_angle_alpha 78.19
_cell_angle_beta 78.19
_cell_angle_gamma 90.28
_symmetry_space_group_name_H-M 'P 1'
_symmetry_Int_Tables_number 1
_symmetry_space_group_name_Hall 'P 1'
loop_
_atom_site_label
_atom_site_type_symbol
_atom_site_fract_x
_atom_site_fract_y
_atom_site_fract_z
_atom_site_occupancy
Zn1 Zn 0.701 0.989 0.577 1
Zn2 Zn 0.011 0.299 0.923 1
Zn3 Zn 0.339 0.812 0.839 1
Zn4 Zn 0.989 0.701 0.077 1
Zn5 Zn 0.355 0.645 0.250 1
Zn6 Zn 0.812 0.339 0.339 1
Zn7 Zn 0.661 0.188 0.161 1
Zn8 Zn 0.299 0.011 0.423 1
Zn9 Zn 0.188 0.661 0.661 1
Zn10 Zn 0.500 0.500 0.500 1
Zn11 Zn 0.000 0.500 0.500 1
Zn12 Zn 0.645 0.355 0.750 1
Zn13 Zn 0.500 0.000 0.000 1
Zn14 Zn 0.500 0.500 0.000 1
Sb1 Sb 0.821 0.835 0.336 1
Sb2 Sb 0.179 0.165 0.664 1
Sb3 Sb 0.835 0.821 0.836 1
Sb4 Sb 0.165 0.179 0.164 1
O1 O 0.288 0.749 0.994 1
O2 O 0.922 0.395 0.173 1
O3 O 0.239 0.244 0.010 1
O4 O 0.605 0.078 0.327 1
O5 O 0.921 0.932 0.175 1
O6 O 0.756 0.761 0.490 1
O7 O 0.251 0.712 0.506 1
O8 O 0.402 0.396 0.671 1
O9 O 0.598 0.604 0.329 1
O10 O 0.952 0.398 0.665 1
O11 O 0.244 0.239 0.510 1
O12 O 0.749 0.288 0.494 1
O13 O 0.079 0.068 0.825 1
O14 O 0.602 0.048 0.835 1
O15 O 0.761 0.756 0.990 1
O16 O 0.395 0.922 0.673 1
O17 O 0.932 0.921 0.675 1
O18 O 0.078 0.605 0.827 1
O19 O 0.604 0.598 0.829 1
O20 O 0.396 0.402 0.171 1
O21 O 0.068 0.079 0.325 1
O22 O 0.712 0.251 0.006 1
O23 O 0.398 0.952 0.165 1
O24 O 0.048 0.602 0.335 1
# offset from the most stable computed form: 0.000 kcal/mol of atoms
# E_form (uncorrected): -1442 meV/atom

=====

No. 6
# ZnSbO2, optimized geometry, DFT PBEsol
data_ZnSbO2
_chemical_formula_sum 'Zn1 Sb1 O2'
_cell_length_a 3.153
_cell_length_b 3.153
_cell_length_c 6.485
_cell_angle_alpha 75.93
_cell_angle_beta 75.93
_cell_angle_gamma 60.00
_symmetry_space_group_name_H-M 'P 1'
_symmetry_Int_Tables_number 1
_symmetry_space_group_name_Hall 'P 1'
loop_
_atom_site_label
_atom_site_type_symbol
_atom_site_fract_x
_atom_site_fract_y
_atom_site_fract_z
_atom_site_occupancy
Sb1 Sb 0.000 0.000 0.000 1
Zn1 Zn 0.500 0.500 0.500 1
O1 O 0.890 0.890 0.330 1
O2 O 0.110 0.110 0.670 1
# offset from the most stable computed form: 0.000 kcal/mol of atoms
# E_form (uncorrected): -1015 meV/atom

=====

No. 7
# ZnSbO2, optimized geometry, DFT PBEsol
data_ZnSbO2
_chemical_formula_sum 'Zn1 Sb1 O2'
_cell_length_a 4.110
_cell_length_b 4.110
_cell_length_c 4.110
_cell_angle_alpha 60.00
_cell_angle_beta 60.00
_cell_angle_gamma 60.00
_symmetry_space_group_name_H-M 'P 1'
_symmetry_Int_Tables_number 1
_symmetry_space_group_name_Hall 'P 1'
loop_
_atom_site_label
_atom_site_type_symbol
_atom_site_fract_x
_atom_site_fract_y
_atom_site_fract_z
_atom_site_occupancy
Sb1 Sb 0.500 0.500 0.500 1
Zn1 Zn 0.000 0.000 0.000 1
O1 O 0.250 0.250 0.250 1
O2 O 0.750 0.750 0.750 1
# offset from the most stable computed form: 13.921 kcal/mol of atoms
# E_form (uncorrected): -411 meV/atom

=====

No. 8
# ZrSbO3, optimized geometry, DFT PBEsol
data_ZrSbO3
_chemical_formula_sum 'Zr1 Sb1 O3'
_cell_length_a 4.126
_cell_length_b 4.126
_cell_length_c 4.126
_cell_angle_alpha 90.00
_cell_angle_beta 90.00
_cell_angle_gamma 90.00
_symmetry_space_group_name_H-M 'P 1'
_symmetry_Int_Tables_number 1
_symmetry_space_group_name_Hall 'P 1'
loop_
_atom_site_label
_atom_site_type_symbol
_atom_site_fract_x
_atom_site_fract_y
_atom_site_fract_z
_atom_site_occupancy
O1 O 0.000 0.500 0.500 1
O2 O 0.500 0.000 0.500 1
O3 O 0.500 0.500 0.000 1
Sb1 Sb 0.500 0.500 0.500 1
Zr1 Zr 0.000 0.000 0.000 1
# E_form (uncorrected): -857 meV/atom